# GGA-PBE SiTe2Br, relaxed
# Polymorph energy (0 for the lowest one) (meV per atom): 377
# Uncorrected formation energy (eV/atom): 0.362
# V (Å³ per atom): 29.0
data_SiTe2Br
_chemical_formula_sum 'Si2 Te4 Br2'
_cell_length_a 6.331
_cell_length_b 8.563
_cell_length_c 5.226
_cell_angle_alpha 90.00
_cell_angle_beta 125.04
_cell_angle_gamma 90.00
_space_group_name_H-M_alt 'C 1 2/m 1'
_space_group_IT_number 12
_space_group_name_Hall '-C 2y'
loop_
_atom_site_label
_atom_site_fract_x
_atom_site_fract_y
_atom_site_fract_z
Si1 0.000 0.000 0.000
Te1 0.250 0.250 0.500
Br1 0.000 0.500 0.000